Entry 1:
First-principles (GGA-PBE) data for a relaxed structure of BeFePt, as listed in Alexandria.

Geometry as POSCAR:
```
BeFePt
1.0
5.278 0.000 0.000
-2.639 4.571 0.000
0.000 0.000 9.773
Fe Be Pt
6 6 6
Direct
0.500 0.000 0.667 Fe
0.000 0.000 0.500 Fe
0.000 0.000 0.833 Fe
0.000 0.000 0.167 Fe
0.500 0.500 0.000 Fe
0.000 0.500 0.333 Fe
0.386 0.773 0.167 Be
0.773 0.386 0.833 Be
0.614 0.386 0.500 Be
0.614 0.227 0.167 Be
0.386 0.614 0.500 Be
0.227 0.614 0.833 Be
0.500 0.500 0.294 Pt
0.000 0.500 0.627 Pt
0.500 0.500 0.706 Pt
0.000 0.500 0.039 Pt
0.500 0.000 0.961 Pt
0.500 0.000 0.373 Pt
```

## Properties
Spin magnetization = 1.043 μB per atom
DOS at the Fermi energy = 17.52 states/eV per cell
Electronic total energy = -6.16 eV/atom
E_form = -25 kJ/mol of formula units
ΔE to the lowest computed polymorph = 98 kJ/mol of formula units



Entry 2:
First-principles (GGA-PBE) data for a relaxed structure of BeFePt2, as listed in Alexandria.

Geometry as POSCAR:
```
BeFePt2
1.0
3.886 0.000 0.000
0.000 2.721 -0.007
0.000 1.380 4.993
Be Fe Pt
1 1 2
Direct
0.000 0.709 0.452 Be
0.500 0.557 0.764 Fe
0.000 0.954 0.968 Pt
0.500 0.280 0.315 Pt
```

## Properties
Spin magnetization = 0.808 μB per atom
DOS at the Fermi energy = 3.21 states/eV per cell
Electronic total energy = -6.37 eV/atom
E_form = -115 kJ/mol of formula units



Entry 3:
First-principles (GGA-PBE) data for a relaxed structure of BeFePt2, as listed in Alexandria.

Geometry as POSCAR:
```
BeFePt2
1.0
-5.787 -6.014 1.416
-3.670 -7.587 0.791
-3.987 -6.685 3.327
Be Fe Pt
1 1 2
Direct
0.499 0.499 0.499 Be
0.758 0.758 0.758 Fe
0.006 0.006 0.006 Pt
0.237 0.237 0.237 Pt
```

## Properties
Spin magnetization = 0.663 μB per atom
DOS at the Fermi energy = 2.80 states/eV per cell
Electronic total energy = -6.28 eV/atom
E_form = -81 kJ/mol of formula units



Entry 4:
First-principles (GGA-PBE) data for a relaxed structure of Be3FePt, as listed in Alexandria.

Geometry as POSCAR:
```
Be3FePt
1.0
-1.377 -3.185 1.654
3.199 -1.893 -0.982
1.628 1.024 3.328
Be Fe Pt
3 1 1
Direct
0.000 0.500 0.000 Be
0.000 0.000 0.500 Be
0.500 0.000 0.000 Be
0.000 0.000 0.000 Fe
0.500 0.500 0.500 Pt
```

## Properties
Spin magnetization = 0.000 μB per atom
DOS at the Fermi energy = 2.30 states/eV per cell
Electronic total energy = -4.54 eV/atom
E_form = 286 kJ/mol of formula units
ΔE to the lowest computed polymorph = 39 kJ/mol of formula units



Entry 5:
First-principles (GGA-PBE) data for a relaxed structure of BeFePt2, as listed in Alexandria.

Geometry as POSCAR:
```
BeFePt2
1.0
4.340 0.000 0.000
0.000 4.340 0.000
0.000 0.000 2.797
Be Fe Pt
1 1 2
Direct
0.500 0.000 0.500 Be
0.000 0.500 0.500 Fe
0.000 0.000 0.000 Pt
0.500 0.500 0.000 Pt
```

## Properties
Spin magnetization = 0.835 μB per atom
DOS at the Fermi energy = 3.39 states/eV per cell
Electronic total energy = -6.40 eV/atom
E_form = -128 kJ/mol of formula units



Entry 6:
First-principles (GGA-PBE) data for a relaxed structure of BeFePt, as listed in Alexandria.

Geometry as POSCAR:
```
BeFePt
1.0
-4.766 -1.830 0.398
-3.276 -2.412 -3.106
4.720 0.423 1.933
Be Fe Pt
1 1 1
Direct
0.001 0.001 0.000 Be
0.350 0.350 0.000 Fe
0.650 0.650 0.000 Pt
```

## Properties
Spin magnetization = 0.838 μB per atom
DOS at the Fermi energy = 1.38 states/eV per cell
Electronic total energy = -6.44 eV/atom
E_form = -105 kJ/mol of formula units
ΔE to the lowest computed polymorph = 18 kJ/mol of formula units